# 1
First-principles (GGA-PBE) data for crystalline CoCuBOs at its relaxed geometry, as listed in the Open Quantum Materials Database.

Computed properties:
Calculated volume in Å³ per cell: 42.8
Excess energy over the best structure of this formula in the dataset in meV/atom: 0
M_tot in μB/atom: 0.2377

abc: 3.9276 3.9276 3.9276
angles: 60.00 60.00 60.00
With the nearest neighbours (Å) after each atom.
Positions (direct):
1 Co 0.0000 0.0000 0.0000  4 B 2.41, 4 Cu 2.41
2 Cu 0.2500 0.2500 0.2500  4 Co 2.41, 4 Os 2.41
3 B 0.7500 0.7500 0.7500  4 Co 2.41, 4 Os 2.41
4 Os 0.5000 0.5000 0.5000  4 B 2.41, 4 Cu 2.41

---

# 2
First-principles (GGA-PBE) data for crystalline CoCuBOs at its relaxed geometry, as listed in the Open Quantum Materials Database.

Computed properties:
Calculated volume in Å³ per cell: 44.0
Excess energy over the best structure of this formula in the dataset in meV/atom: 27
M_tot in μB/atom: 0.4795

abc: 3.9617 3.9617 3.9617
angles: 60.00 60.00 60.00
With the nearest neighbours (Å) after each atom.
Positions (direct):
1 Co 0.0000 0.0000 0.0000  4 Os 2.43, 4 Cu 2.43
2 Cu 0.7500 0.7500 0.7500  4 B 2.43, 4 Co 2.43
3 B 0.5000 0.5000 0.5000  4 Cu 2.43, 4 Os 2.43
4 Os 0.2500 0.2500 0.2500  4 Co 2.43, 4 B 2.43

---

# 3
First-principles (GGA-PBE) data for crystalline CoCuBPd at its relaxed geometry, as listed in the Open Quantum Materials Database.

Computed properties:
Calculated volume in Å³ per cell: 44.9
Excess energy over the best structure of this formula in the dataset in meV/atom: 0
M_tot in μB/atom: 0.3908

abc: 3.9905 3.9905 3.9905
angles: 60.00 60.00 60.00
With the nearest neighbours (Å) after each atom.
Positions (direct):
1 Co 0.0000 0.0000 0.0000  4 Cu 2.44, 4 Pd 2.44
2 Cu 0.7500 0.7500 0.7500  4 Co 2.44, 4 B 2.44
3 B 0.5000 0.5000 0.5000  4 Cu 2.44, 4 Pd 2.44
4 Pd 0.2500 0.2500 0.2500  4 Co 2.44, 4 B 2.44

---

# 4
First-principles (GGA-PBE) data for crystalline CoCuReB at its relaxed geometry, as listed in the Open Quantum Materials Database.

Computed properties:
Calculated volume in Å³ per cell: 43.5
Excess energy over the best structure of this formula in the dataset in meV/atom: 0
M_tot in μB/atom: 0.2431

abc: 3.9463 3.9463 3.9463
angles: 60.00 60.00 60.00
With the nearest neighbours (Å) after each atom.
Positions (direct):
1 Co 0.0000 0.0000 0.0000  4 Re 2.42, 4 Cu 2.42
2 Cu 0.7500 0.7500 0.7500  4 B 2.42, 4 Co 2.42
3 Re 0.2500 0.2500 0.2500  4 Co 2.42, 4 B 2.42
4 B 0.5000 0.5000 0.5000  4 Cu 2.42, 4 Re 2.42

---

# 5
First-principles (GGA-PBE) data for crystalline CoCuReB at its relaxed geometry, as listed in the Open Quantum Materials Database.

Computed properties:
Calculated volume in Å³ per cell: 43.2
Excess energy over the best structure of this formula in the dataset in meV/atom: 20
M_tot in μB/atom: 0.2763

abc: 3.9379 3.9379 3.9379
angles: 60.00 60.00 60.00
With the nearest neighbours (Å) after each atom.
Positions (direct):
1 Co 0.0000 0.0000 0.0000  4 Cu 2.41, 4 B 2.41
2 Cu 0.2500 0.2500 0.2500  4 Re 2.41, 4 Co 2.41
3 Re 0.5000 0.5000 0.5000  4 B 2.41, 4 Cu 2.41
4 B 0.7500 0.7500 0.7500  4 Re 2.41, 4 Co 2.41

---

# 6
First-principles (GGA-PBE) data for crystalline CoCuBSb at its relaxed geometry, as listed in the Open Quantum Materials Database.

Computed properties:
Calculated volume in Å³ per cell: 52.6
Excess energy over the best structure of this formula in the dataset in meV/atom: 0
M_tot in μB/atom: 0.0029

abc: 4.2045 4.2045 4.2045
angles: 60.00 60.00 60.00
With the nearest neighbours (Å) after each atom.
Positions (direct):
1 Co 0.0000 0.0000 0.0000  4 B 2.57, 4 Sb 2.57
2 Cu 0.5000 0.5000 0.5000  4 Sb 2.57, 4 B 2.57
3 B 0.2500 0.2500 0.2500  4 Cu 2.57, 4 Co 2.57
4 Sb 0.7500 0.7500 0.7500  4 Cu 2.57, 4 Co 2.57

---

# 7
First-principles (GGA-PBE) data for crystalline ScCoCuB at its relaxed geometry, as listed in the Open Quantum Materials Database.

Computed properties:
Calculated volume in Å³ per cell: 46.9
Excess energy over the best structure of this formula in the dataset in meV/atom: 84
M_tot in μB/atom: 0.0347

abc: 4.0491 4.0491 4.0491
angles: 60.00 60.00 60.00
With the nearest neighbours (Å) after each atom.
Positions (direct):
1 Sc 0.0000 0.0000 0.0000  4 Co 2.48, 4 Cu 2.48
2 Co 0.2500 0.2500 0.2500  4 B 2.48, 4 Sc 2.48
3 Cu 0.7500 0.7500 0.7500  4 B 2.48, 4 Sc 2.48
4 B 0.5000 0.5000 0.5000  4 Cu 2.48, 4 Co 2.48

---

# 8
First-principles (GGA-PBE) data for crystalline ScCoCu4B2 at its relaxed geometry, as listed in the Open Quantum Materials Database.

Computed properties:
Calculated volume in Å³ per cell: 90.0
Excess energy over the best structure of this formula in the dataset in meV/atom: 0
M_tot in μB/atom: 0.2317

abc: 3.7155 3.7155 6.5190
angles: 90.00 90.00 90.00
With the nearest neighbours (Å) after each atom.
Positions (direct):
1 Sc 0.0000 0.0000 0.0000  8 Cu 2.59, 4 B 2.63
2 Co 0.5000 0.5000 0.5000  8 Cu 2.36, 4 B 2.63
3 Cu 0.0000 0.5000 0.2760  4 B 2.36-2.59, 2 Co 2.36, 2 Sc 2.59, 4 Cu 2.63
4 Cu 0.0000 0.5000 0.7240  4 B 2.36-2.59, 2 Co 2.36, 2 Sc 2.59, 4 Cu 2.63
5 Cu 0.5000 0.0000 0.2760  4 B 2.36-2.59, 2 Co 2.36, 2 Sc 2.59, 4 Cu 2.63
6 Cu 0.5000 0.0000 0.7240  4 B 2.36-2.59, 2 Co 2.36, 2 Sc 2.59, 4 Cu 2.63
7 B 0.0000 0.0000 0.5000  8 Cu 2.36, 4 Co 2.63
8 B 0.5000 0.5000 0.0000  8 Cu 2.59, 4 Sc 2.63

---

# 9
First-principles (GGA-PBE) data for crystalline ScCoCuB at its relaxed geometry, as listed in the Open Quantum Materials Database.

Computed properties:
Calculated volume in Å³ per cell: 47.9
Excess energy over the best structure of this formula in the dataset in meV/atom: 0
M_tot in μB/atom: 0.0359

abc: 4.0750 4.0750 4.0750
angles: 60.00 60.00 60.00
With the nearest neighbours (Å) after each atom.
Positions (direct):
1 Sc 0.0000 0.0000 0.0000  4 Cu 2.50, 4 B 2.50
2 Co 0.5000 0.5000 0.5000  4 B 2.50, 4 Cu 2.50
3 Cu 0.2500 0.2500 0.2500  4 Co 2.50, 4 Sc 2.50
4 B 0.7500 0.7500 0.7500  4 Co 2.50, 4 Sc 2.50

---

# 10
First-principles (GGA-PBE) data for crystalline ScCoCuB at its relaxed geometry, as listed in the Open Quantum Materials Database.

Computed properties:
Calculated volume in Å³ per cell: 48.3
Excess energy over the best structure of this formula in the dataset in meV/atom: 142
M_tot in μB/atom: 0.0258

abc: 4.0879 4.0879 4.0879
angles: 60.00 60.00 60.00
With the nearest neighbours (Å) after each atom.
Positions (direct):
1 Sc 0.0000 0.0000 0.0000  4 Co 2.50, 4 B 2.50
2 Co 0.7500 0.7500 0.7500  4 Cu 2.50, 4 Sc 2.50
3 Cu 0.5000 0.5000 0.5000  4 Co 2.50, 4 B 2.50
4 B 0.2500 0.2500 0.2500  4 Cu 2.50, 4 Sc 2.50

---

# 11
First-principles (GGA-PBE) data for crystalline ScCoCu4B2 at its relaxed geometry, as listed in the Open Quantum Materials Database.

Computed properties:
Calculated volume in Å³ per cell: 91.1
Excess energy over the best structure of this formula in the dataset in meV/atom: 19
M_tot in μB/atom: 0.0006

abc: 3.7952 3.7952 6.3220
angles: 90.00 90.00 90.00
With the nearest neighbours (Å) after each atom.
Positions (direct):
1 Sc 0.0000 0.0000 0.0000  8 Cu 2.60, 4 B 2.68
2 Co 0.5000 0.5000 0.5000  8 Cu 2.35
3 Cu 0.0000 0.5000 0.2818  2 Co 2.35, 4 B 2.35-2.60, 2 Sc 2.60
4 Cu 0.0000 0.5000 0.7182  2 Co 2.35, 4 B 2.35-2.60, 2 Sc 2.60
5 Cu 0.5000 0.0000 0.2818  2 Co 2.35, 4 B 2.35-2.60, 2 Sc 2.60
6 Cu 0.5000 0.0000 0.7182  2 Co 2.35, 4 B 2.35-2.60, 2 Sc 2.60
7 B 0.0000 0.0000 0.5000  8 Cu 2.35
8 B 0.5000 0.5000 0.0000  8 Cu 2.60, 4 Sc 2.68

---

# 12
First-principles (GGA-PBE) data for crystalline TaCoCuB at its relaxed geometry, as listed in the Open Quantum Materials Database.

Computed properties:
Calculated volume in Å³ per cell: 46.6
Excess energy over the best structure of this formula in the dataset in meV/atom: 110
M_tot in μB/atom: 0.0012

abc: 4.0392 4.0392 4.0392
angles: 60.00 60.00 60.00
With the nearest neighbours (Å) after each atom.
Positions (direct):
1 Ta 0.0000 0.0000 0.0000  4 Co 2.47, 4 Cu 2.47
2 Co 0.7500 0.7500 0.7500  4 Ta 2.47, 4 B 2.47
3 Cu 0.2500 0.2500 0.2500  4 Ta 2.47, 4 B 2.47
4 B 0.5000 0.5000 0.5000  4 Co 2.47, 4 Cu 2.47

---

# 13
First-principles (GGA-PBE) data for crystalline TaCoCuB at its relaxed geometry, as listed in the Open Quantum Materials Database.

Computed properties:
Calculated volume in Å³ per cell: 46.3
Excess energy over the best structure of this formula in the dataset in meV/atom: 8
M_tot in μB/atom: 0.0521

abc: 4.0320 4.0320 4.0320
angles: 60.00 60.00 60.00
With the nearest neighbours (Å) after each atom.
Positions (direct):
1 Ta 0.0000 0.0000 0.0000  4 B 2.47, 4 Co 2.47
2 Co 0.2500 0.2500 0.2500  4 Ta 2.47, 4 Cu 2.47
3 Cu 0.5000 0.5000 0.5000  4 B 2.47, 4 Co 2.47
4 B 0.7500 0.7500 0.7500  4 Ta 2.47, 4 Cu 2.47

---

# 14
First-principles (GGA-PBE) data for crystalline TaCoCuB at its relaxed geometry, as listed in the Open Quantum Materials Database.

Computed properties:
Calculated volume in Å³ per cell: 45.9
Excess energy over the best structure of this formula in the dataset in meV/atom: 0
M_tot in μB/atom: 0.0559

abc: 4.0178 4.0178 4.0178
angles: 60.00 60.00 60.00
With the nearest neighbours (Å) after each atom.
Positions (direct):
1 Ta 0.0000 0.0000 0.0000  4 Cu 2.46, 4 B 2.46
2 Co 0.5000 0.5000 0.5000  4 Cu 2.46, 4 B 2.46
3 Cu 0.7500 0.7500 0.7500  4 Ta 2.46, 4 Co 2.46
4 B 0.2500 0.2500 0.2500  4 Ta 2.46, 4 Co 2.46

---

# 15
First-principles (GGA-PBE) data for crystalline YCoCuB at its relaxed geometry, as listed in the Open Quantum Materials Database.

Computed properties:
Calculated volume in Å³ per cell: 57.0
Excess energy over the best structure of this formula in the dataset in meV/atom: 0
M_tot in μB/atom: 0.3724

abc: 4.3193 4.3193 4.3193
angles: 60.00 60.00 60.00
With the nearest neighbours (Å) after each atom.
Positions (direct):
1 Y 0.0000 0.0000 0.0000  4 Co 2.64, 4 B 2.64
2 Co 0.7500 0.7500 0.7500  4 Cu 2.64, 4 Y 2.64
3 Cu 0.5000 0.5000 0.5000  4 Co 2.64, 4 B 2.64
4 B 0.2500 0.2500 0.2500  4 Cu 2.64, 4 Y 2.64

---

# 16
First-principles (GGA-PBE) data for crystalline YCoCuB at its relaxed geometry, as listed in the Open Quantum Materials Database.

Computed properties:
Calculated volume in Å³ per cell: 55.0
Excess energy over the best structure of this formula in the dataset in meV/atom: 21
M_tot in μB/atom: 0.1112

abc: 4.2694 4.2694 4.2694
angles: 60.00 60.00 60.00
With the nearest neighbours (Å) after each atom.
Positions (direct):
1 Y 0.0000 0.0000 0.0000  4 Co 2.61, 4 Cu 2.61
2 Co 0.7500 0.7500 0.7500  4 B 2.61, 4 Y 2.61
3 Cu 0.2500 0.2500 0.2500  4 B 2.61, 4 Y 2.61
4 B 0.5000 0.5000 0.5000  4 Co 2.61, 4 Cu 2.61

---

# 17
First-principles (GGA-PBE) data for crystalline ZnCoCuB at its relaxed geometry, as listed in the Open Quantum Materials Database.

Computed properties:
Calculated volume in Å³ per cell: 41.3
Excess energy over the best structure of this formula in the dataset in meV/atom: 0
M_tot in μB/atom: 0.0011

abc: 3.8802 3.8802 3.8802
angles: 60.00 60.00 60.00
With the nearest neighbours (Å) after each atom.
Positions (direct):
1 Zn 0.0000 0.0000 0.0000  4 Cu 2.38, 4 Co 2.38
2 Co 0.7500 0.7500 0.7500  4 Zn 2.38, 4 B 2.38
3 Cu 0.2500 0.2500 0.2500  4 B 2.38, 4 Zn 2.38
4 B 0.5000 0.5000 0.5000  4 Co 2.38, 4 Cu 2.38

---

# 18
First-principles (GGA-PBE) data for crystalline ZnCoCuB at its relaxed geometry, as listed in the Open Quantum Materials Database.

Computed properties:
Calculated volume in Å³ per cell: 41.7
Excess energy over the best structure of this formula in the dataset in meV/atom: 67
M_tot in μB/atom: 0.0087

abc: 3.8909 3.8909 3.8909
angles: 60.00 60.00 60.00
With the nearest neighbours (Å) after each atom.
Positions (direct):
1 Zn 0.0000 0.0000 0.0000  4 Cu 2.38, 4 B 2.38
2 Co 0.5000 0.5000 0.5000  4 B 2.38, 4 Cu 2.38
3 Cu 0.2500 0.2500 0.2500  4 Co 2.38, 4 Zn 2.38
4 B 0.7500 0.7500 0.7500  4 Co 2.38, 4 Zn 2.38

---

# 19
First-principles (GGA-PBE) data for crystalline ZnCoCu4B2 at its relaxed geometry, as listed in the Open Quantum Materials Database.

Computed properties:
Calculated volume in Å³ per cell: 82.7
Excess energy over the best structure of this formula in the dataset in meV/atom: 0
M_tot in μB/atom: 0.1376

abc: 3.6345 3.6345 6.2627
angles: 90.00 90.00 90.00
With the nearest neighbours (Å) after each atom.
Positions (direct):
1 Zn 0.0000 0.0000 0.0000  8 Cu 2.40, 4 B 2.57
2 Co 0.5000 0.5000 0.5000  8 Cu 2.40, 4 B 2.57
3 Cu 0.0000 0.5000 0.2502  2 Co 2.40, 4 B 2.40, 2 Zn 2.40, 4 Cu 2.57
4 Cu 0.0000 0.5000 0.7498  2 Co 2.40, 4 B 2.40, 2 Zn 2.40, 4 Cu 2.57
5 Cu 0.5000 0.0000 0.2502  2 Co 2.40, 4 B 2.40, 2 Zn 2.40, 4 Cu 2.57
6 Cu 0.5000 0.0000 0.7498  2 Co 2.40, 4 B 2.40, 2 Zn 2.40, 4 Cu 2.57
7 B 0.0000 0.0000 0.5000  8 Cu 2.40, 4 Co 2.57
8 B 0.5000 0.5000 0.0000  8 Cu 2.40, 4 Zn 2.57

---

# 20
First-principles (GGA-PBE) data for crystalline DyCo12B6 at its relaxed geometry, as listed in the Open Quantum Materials Database.

Computed properties:
Calculated volume in Å³ per cell: 188.5
E in eV per atom: -7.188
M_tot in μB/atom: 0.3591

abc: 5.9570 5.9570 5.9570
angles: 104.03 104.03 104.03
With the nearest neighbours (Å) after each atom.
Positions (direct):
1 Dy 0.0000 0.0000 0.0000  6 B 3.03, 18 Co 3.08-3.23
2 Co 0.1325 0.5000 0.8675  4 B 2.03
3 Co 0.1325 0.8675 0.5000  4 B 2.03
4 Co 0.1872 0.4562 0.4562  3 B 2.10
5 Co 0.4562 0.1872 0.4562  3 B 2.10
6 Co 0.4562 0.4562 0.1872  3 B 2.10
7 Co 0.5000 0.1325 0.8675  4 B 2.03
8 Co 0.5000 0.8675 0.1325  4 B 2.03
9 Co 0.5438 0.5438 0.8128  3 B 2.10
10 Co 0.5438 0.8128 0.5438  3 B 2.10
11 Co 0.8128 0.5438 0.5438  3 B 2.10
12 Co 0.8675 0.1325 0.5000  4 B 2.03
13 Co 0.8675 0.5000 0.1325  4 B 2.03
14 B 0.2322 0.2322 0.6763  7 Co 2.03-2.10
15 B 0.2322 0.6763 0.2322  7 Co 2.03-2.10
16 B 0.3237 0.7678 0.7678  7 Co 2.03-2.10
17 B 0.6763 0.2322 0.2322  7 Co 2.03-2.10
18 B 0.7678 0.3237 0.7678  7 Co 2.03-2.10
19 B 0.7678 0.7678 0.3237  7 Co 2.03-2.10